# 1
Crystalline CuGe at its relaxed geometry. Source: Alexandria via LeMat-Bulk, functional PBE.

Values from the calculation:
DFT formation energy (eV per atom): 0.2730
Space-group type: No. 176
Raw total energy (eV/atom): -4.0838

Cell: 7.317 7.317 4.583 Å, 90.00 90.00 120.00°
Positions (direct):
Cu (0.004, 0.405, 0.250)
Cu (0.401, 0.996, 0.250)
Cu (0.405, 0.401, 0.750)
Cu (0.595, 0.599, 0.250)
Cu (0.599, 0.004, 0.750)
Cu (0.996, 0.595, 0.750)
Ge (0.002, 0.264, 0.750)
Ge (0.262, 0.998, 0.750)
Ge (0.264, 0.262, 0.250)
Ge (0.736, 0.738, 0.750)
Ge (0.738, 0.002, 0.250)
Ge (0.998, 0.736, 0.250)


# 2
Crystalline CuGe at its relaxed geometry. Source: Alexandria via LeMat-Bulk, functional PBE.

Values from the calculation:
DFT formation energy (eV per atom): 0.1599
Space-group type: No. 59
Raw total energy (eV/atom): -4.1968

Cell: 4.154 9.892 4.842 Å, 90.00 90.00 90.00°
Positions (direct):
Cu (0.250, 0.003, 0.153)
Cu (0.250, 0.250, 0.266)
Cu (0.250, 0.497, 0.153)
Cu (0.750, 0.503, 0.847)
Cu (0.750, 0.750, 0.734)
Cu (0.750, 0.997, 0.847)
Ge (0.250, 0.097, 0.653)
Ge (0.250, 0.403, 0.653)
Ge (0.250, 0.750, 0.021)
Ge (0.750, 0.250, 0.979)
Ge (0.750, 0.597, 0.347)
Ge (0.750, 0.903, 0.347)


# 3
Crystalline Cu5Ge at its relaxed geometry. Source: Alexandria via LeMat-Bulk, functional PBE.

Values from the calculation:
DFT formation energy (eV per atom): 0.0033
Space-group type: No. 65
Raw total energy (eV/atom): -4.1798

Cell: 5.788 5.788 3.768 Å, 90.00 90.00 143.42°
Positions (direct):
Cu (0.000, 0.000, 0.000)
Cu (0.167, 0.833, 0.500)
Cu (0.330, 0.670, 0.000)
Cu (0.670, 0.330, 0.000)
Cu (0.833, 0.167, 0.500)
Ge (0.500, 0.500, 0.500)


Among the records above, which one has the lowest DFT formation energy?
Cu5Ge


What is the formula in the third record?
Cu5Ge


Which value of raw total energy does entry 1 give?
-4.0838 eV/atom